First-principles (PBE-GGA) data for a relaxed structure of Tc2OsPt, as listed in Alexandria via LeMat-Bulk.

Computed properties:
total moment: 0.00 μB/f.u.
relative energy among the computed polymorphs: 119.9 meV per atom
formation enthalpy at 0 K: -16 meV per atom

a b c (Å): 4.7733 4.7733 4.7808
angles (deg): 99.55 99.55 33.30
Closest atoms and distances in Å follow each position.
Positions (direct):
Tc 0.0000 0.0000 0.0000  4 Os 2.65-2.86, 5 Tc 2.73-2.77, 3 Pt 2.74-2.79
Tc 0.7476 0.7476 0.2479  3 Os 2.67-2.75, 5 Tc 2.73-2.77, 4 Pt 2.74-2.77
Os 0.4907 0.4907 0.4724  7 Tc 2.65-2.86, 2 Os 2.74, 3 Pt 2.78-2.82
Pt 0.2459 0.2459 0.7441  2 Pt 2.74, 7 Tc 2.74-2.79, 3 Os 2.78-2.82